# 1
The following is a PBE calculation of crystalline Ba2Ga7Sn at its relaxed geometry, from Alexandria via LeMat-Bulk.

Lattice parameters (Å, degrees): 4.713 4.713 10.961 90.00 90.00 90.00
Element x y z (fractional)
Ba: 0.000 0.500 0.241
Ba: 0.500 0.000 0.759
Ga: 0.000 0.000 0.000
Ga: 0.000 0.500 0.640
Ga: 0.000 0.500 0.879
Ga: 0.500 0.000 0.121
Ga: 0.500 0.000 0.360
Ga: 0.500 0.500 0.000
Ga: 0.500 0.500 0.500
Sn: 0.000 0.000 0.500

Summary:
formation energy from the elements: -422 meV/atom
space-group type: P-4m2
crystal system: tetragonal

# 2
The following is a PBE calculation of crystalline LaNdSm3Er at its relaxed geometry, from Alexandria via LeMat-Bulk.

Lattice parameters (Å, degrees): 10.588 10.588 6.982 90.94 90.94 31.76
Element x y z (fractional)
La: 0.146 0.146 0.025
La: 0.854 0.854 0.975
Nd: 0.445 0.445 0.735
Nd: 0.555 0.555 0.265
Sm: 0.020 0.020 0.743
Sm: 0.281 0.281 0.748
Sm: 0.337 0.337 0.267
Sm: 0.663 0.663 0.733
Sm: 0.719 0.719 0.252
Sm: 0.980 0.980 0.257
Er: 0.147 0.147 0.469
Er: 0.853 0.853 0.531

Summary:
formation energy from the elements: 172 meV/atom
space-group type: C2/m
crystal system: monoclinic

# 3
The following is a PBE calculation of crystalline CaLa2In at its relaxed geometry, from Alexandria via LeMat-Bulk.

Lattice parameters (Å, degrees): 11.915 11.915 11.915 18.42 18.42 18.42
Element x y z (fractional)
Ca: 0.000 0.000 0.000
La: 0.239 0.239 0.239
La: 0.761 0.761 0.761
In: 0.500 0.500 0.500

Summary:
formation energy from the elements: -87 meV/atom
space-group type: R-3m
crystal system: trigonal

# 4
The following is a PBE calculation of crystalline BClO at its relaxed geometry, from Alexandria via LeMat-Bulk.

Lattice parameters (Å, degrees): 5.945 2.599 7.999 90.00 111.71 90.00
Element x y z (fractional)
B: 0.235 0.250 0.277
B: 0.765 0.750 0.723
Cl: 0.077 0.750 0.775
Cl: 0.923 0.250 0.225
O: 0.347 0.750 0.295
O: 0.653 0.250 0.705

Summary:
raw formation energy: -30.97 kcal/mol of atoms
space-group type: P2_1/m
crystal system: monoclinic

# 5
The following is a PBE calculation of crystalline EuY3N at its relaxed geometry, from Alexandria via LeMat-Bulk.

Lattice parameters (Å, degrees): 5.031 5.031 5.031 90.00 90.00 90.00
Element x y z (fractional)
Eu: 0.000 0.000 0.000
Y: 0.000 0.500 0.500
Y: 0.500 0.000 0.500
Y: 0.500 0.500 0.000
N: 0.500 0.500 0.500

Summary:
raw formation energy: -9.97 kcal/mol of atoms
space-group type: Pm-3m
crystal system: cubic

# 6
The following is a PBE calculation of crystalline SiBRhAuCS at its relaxed geometry, from Alexandria via LeMat-Bulk.

Lattice parameters (Å, degrees): 4.590 4.906 5.118 68.34 73.07 67.98
Element x y z (fractional)
Si: 0.000 0.000 0.000
B: 0.149 0.320 0.052
Rh: 0.122 0.990 0.465
Au: 0.618 0.396 0.711
C: 0.172 0.630 0.934
S: 0.667 0.918 0.409

Summary:
raw formation energy: 7.43 kcal/mol of atoms
space-group type: P1
crystal system: triclinic

# 7
The following is a PBE calculation of crystalline UNbP2 at its relaxed geometry, from Alexandria via LeMat-Bulk.

Lattice parameters (Å, degrees): 6.443 6.443 6.443 33.95 33.95 33.95
Element x y z (fractional)
U: 0.000 0.000 0.000
Nb: 0.500 0.500 0.500
P: 0.243 0.243 0.243
P: 0.757 0.757 0.757

Summary:
formation energy from the elements: -919 meV/atom
space-group type: R-3m
crystal system: trigonal

# 8
The following is a PBE calculation of crystalline NiSbTe3 at its relaxed geometry, from Alexandria via LeMat-Bulk.

Lattice parameters (Å, degrees): 3.961 6.328 11.791 78.05 89.91 71.85
Element x y z (fractional)
Ni: 0.217 0.065 0.135
Ni: 0.783 0.935 0.865
Sb: 0.014 0.474 0.633
Sb: 0.986 0.526 0.367
Te: 0.158 0.187 0.909
Te: 0.308 0.883 0.355
Te: 0.414 0.670 0.835
Te: 0.586 0.330 0.165
Te: 0.692 0.117 0.645
Te: 0.842 0.813 0.091

Summary:
raw formation energy: -2.15 kcal/mol of atoms
space-group type: P-1
crystal system: triclinic